Record 1
MnPt2Cl | GGA-PBE | relaxed

abc: 2.9613 2.9380 7.9158
angles: 90.00 90.07 90.00
Atoms (fractional coordinates):
Mn (0.0000, 0.0000, 0.0000)
Pt (0.4982, 0.5000, 0.7908)
Pt (0.9975, 0.0000, 0.5485)
Cl (0.9953, 0.5000, 0.2333)

Values from the calculation:
Energy relative to the elements, uncorrected, eV per atom: -0.0305



Record 2
MnPt2Cl | GGA-PBE | relaxed

abc: 2.8682 4.6496 4.9733
angles: 90.00 90.00 90.00
Atoms (fractional coordinates):
Mn (0.0000, 0.0000, 0.0000)
Pt (0.0000, 0.5000, 0.5000)
Pt (0.5000, 0.0000, 0.5000)
Cl (0.5000, 0.5000, 0.0000)

Values from the calculation:
Energy relative to the elements, uncorrected, eV per atom: 0.1853



Record 3
MnPt2Cl | GGA-PBE | relaxed

abc: 4.5400 4.5400 4.5400
angles: 60.00 60.00 60.00
Atoms (fractional coordinates):
Mn (0.0000, 0.0000, 0.0000)
Pt (0.5000, 0.5000, 0.5000)
Pt (0.7500, 0.7500, 0.7500)
Cl (0.2500, 0.2500, 0.2500)

Values from the calculation:
Energy relative to the elements, uncorrected, eV per atom: 0.3239



Record 4
MnPtCl | GGA-PBE | relaxed

abc: 4.3968 4.3968 4.3968
angles: 60.00 60.00 60.00
Atoms (fractional coordinates):
Mn (0.0000, 0.0000, 0.0000)
Pt (0.2500, 0.2500, 0.2500)
Cl (0.5000, 0.5000, 0.5000)

Values from the calculation:
Energy relative to the elements, uncorrected, eV per atom: 0.2914



Record 5
MnPt3Cl | GGA-PBE | relaxed

abc: 4.5546 4.5546 4.5546
angles: 90.00 90.00 90.00
Atoms (fractional coordinates):
Mn (0.0000, 0.0000, 0.0000)
Pt (0.0000, 0.5000, 0.5000)
Pt (0.5000, 0.0000, 0.5000)
Pt (0.5000, 0.5000, 0.0000)
Cl (0.5000, 0.5000, 0.5000)

Values from the calculation:
Energy relative to the elements, uncorrected, eV per atom: 0.9487



Record 6
MnPt2Cl | GGA-PBE | relaxed

abc: 4.9348 4.9348 2.8863
angles: 90.00 90.00 111.41
Atoms (fractional coordinates):
Mn (0.0000, 0.0000, 0.0000)
Pt (0.0000, 0.5000, 0.5000)
Pt (0.5000, 0.0000, 0.5000)
Cl (0.5000, 0.5000, 0.0000)

Values from the calculation:
Energy relative to the elements, uncorrected, eV per atom: 0.3790



Record 7
Mn2PtCl | GGA-PBE | relaxed

abc: 4.3443 4.3443 7.6433
angles: 119.34 119.34 40.60
Atoms (fractional coordinates):
Mn (0.1280, 0.1280, 0.3135)
Mn (0.8720, 0.8720, 0.6865)
Pt (0.5000, 0.5000, 0.5000)
Cl (0.5000, 0.5000, 0.0000)

Values from the calculation:
Energy relative to the elements, uncorrected, eV per atom: -0.1665



Record 8
MnPt2Cl | GGA-PBE | relaxed

abc: 5.6908 5.6908 2.9183
angles: 104.61 104.61 123.34
Atoms (fractional coordinates):
Mn (0.0000, 0.0000, 0.0000)
Pt (0.0000, 0.5000, 0.5000)
Pt (0.5000, 0.0000, 0.5000)
Cl (0.5000, 0.5000, 0.0000)

Values from the calculation:
Energy relative to the elements, uncorrected, eV per atom: 0.1938